Entry 1:
Density functional theory data (PBE-GGA) for a relaxed SrLaAlGa crystal.

```
4
Lattice="-3.2004 2.8946 -3.3153 -5.3727 -0.8634 -0.0334 -3.3703 3.7446 2.0569" Properties=species:S:1:pos:R:3 pbc="T T T"
Sr -5.9717 2.8879 -0.6459
La 0.0000 0.0000 0.0000
Al -8.9575 4.3319 -0.9688
Ga -2.9858 1.4440 -0.3229
```

- space group = F-43m, No. 216
- calculated volume (A^3/atom) = 28.5
- formation energy (eV per atom) = -0.305

***

Entry 2:
Density functional theory data (PBE-GGA) for a relaxed PuRe4Mo crystal.

```
6
Lattice="-0.0998 1.1786 5.1509 -0.8955 -3.7991 3.5632 3.9084 -1.6329 3.1606" Properties=species:S:1:pos:R:3 pbc="T T T"
Re 2.2697 -0.7567 5.6397
Re 1.8712 -3.2494 4.8445
Re -0.1360 -1.8415 5.8413
Re 1.8213 -2.6592 7.4241
Mo 0.0000 0.0000 0.0000
Pu 0.7283 -1.0633 2.9687
```

- space group = F-43m, No. 216
- calculated volume (A^3/atom) = 17.4
- formation energy (eV per atom) = 0.233

***

Entry 3:
Density functional theory data (PBE-GGA) for a relaxed HfSn2F8 crystal.

```
11
Lattice="3.8587 0.0000 0.0000 0.0000 5.6311 0.0017 -1.9293 -2.3995 7.6234" Properties=species:S:1:pos:R:3 pbc="T T T"
F 1.9293 2.5838 4.0472
F 0.0000 1.1301 0.1162
F 0.0000 0.6478 3.5779
F 1.9293 1.4071 1.5646
F 0.0000 1.8244 6.0604
F 1.9293 4.4203 1.6062
F 1.9293 2.1014 7.5089
F 0.0000 -1.1887 6.0189
Sn 1.9293 0.6113 5.1235
Sn 0.0000 2.6203 2.5015
Hf 1.9293 0.0000 0.0000
```

- space group = C2/m, No. 12
- calculated volume (A^3/atom) = 15.1
- energy above the lowest structure with this stoichiometry (eV per formula unit) = 0.99
- E_form (uncorrected) (eV/atom) = -2.91

***

Entry 4:
Density functional theory data (PBE-GGA) for a relaxed Th5Tl2In crystal.

```
16
Lattice="-6.2863 2.0653 5.0711 0.0065 -7.7180 3.1514 7.8047 4.8542 0.8455" Properties=species:S:1:pos:R:3 pbc="T T T"
Th 1.0747 3.3456 4.5742
Th -2.6919 -4.4386 7.5712
Th 0.0000 0.0000 0.0000
Th -3.7761 -0.2245 6.8675
Th -0.6340 0.0700 3.7901
Th 0.4501 -4.1442 4.4938
Th 2.1588 -0.8685 5.2779
Th -3.1399 -2.8264 4.1112
Th 4.2167 3.6401 1.4968
Th 5.3009 -0.5741 2.2005
Tl -3.9733 0.2854 3.6225
Tl -2.3065 -5.9381 4.5999
Tl -0.8286 -2.5657 1.8295
Tl -5.4512 -3.0870 6.3930
In -0.8075 -1.8124 6.5896
In 2.3324 1.0139 2.4784
```

- space group = I4/mcm, No. 140
- calculated volume (A^3/atom) = 30.8
- energy above the lowest structure with this stoichiometry (eV per formula unit) = 0.51
- formation energy (eV per atom) = -0.069

***

Entry 5:
Density functional theory data (PBE-GGA) for a relaxed Na2HfMoRh crystal.

```
5
Lattice="5.4417 0.0000 0.0000 0.0000 4.6981 0.0000 0.0000 0.0000 5.4417" Properties=species:S:1:pos:R:3 pbc="T T T"
Na 2.7209 0.0000 0.0000
Na 0.0000 0.0000 2.7209
Rh 2.7209 2.3491 2.7209
Hf 0.0000 0.0000 0.0000
Mo 0.0000 2.3491 0.0000
```

- space group = P4/mmm, No. 123
- calculated volume (A^3/atom) = 27.8
- formation energy (eV per atom) = 1.967

***

Entry 6:
Density functional theory data (PBE-GGA) for a relaxed Mg3InW crystal.

```
5
Lattice="5.2981 0.0000 0.0000 0.0000 5.2981 0.0000 0.0000 0.0000 5.2981" Properties=species:S:1:pos:R:3 pbc="T T T"
In 2.6491 2.6491 2.6491
Mg 0.0000 2.6491 0.0000
Mg 2.6491 0.0000 0.0000
Mg 0.0000 0.0000 2.6491
W 0.0000 0.0000 0.0000
```

- space group = Pm-3m, No. 221
- calculated volume (A^3/atom) = 29.7
- energy above the lowest structure with this stoichiometry (eV per formula unit) = 0.00
- formation energy (eV per atom) = 1.160

***

Entry 7:
Density functional theory data (PBE-GGA) for a relaxed ReRu2Br crystal.

```
4
Lattice="8.8187 0.0001 0.0001 8.3515 2.8325 0.0001 8.3515 1.3778 2.4749" Properties=species:S:1:pos:R:3 pbc="T T T"
Ru 0.0120 0.0020 0.0012
Ru 6.4218 1.0594 0.6228
Br 12.7812 2.1086 1.2395
Re 19.0674 3.1456 1.8491
```

- space group = R3m, No. 160
- calculated volume (A^3/atom) = 15.5
- energy above the lowest structure with this stoichiometry (eV per formula unit) = 0.66
- E_form (uncorrected) (eV/atom) = 0.67

***

Entry 8:
Density functional theory data (PBE-GGA) for a relaxed SmTl2Ge crystal.

```
4
Lattice="-2.9904 1.6724 -0.7418 -2.9019 -0.6993 1.8383 0.6946 8.2827 7.5900" Properties=species:S:1:pos:R:3 pbc="T T T"
Tl -0.0698 5.9946 5.5129
Tl -5.1279 3.2612 3.1737
Ge -2.5989 4.6279 4.3433
Sm 0.0000 0.0000 0.0000
```

- space group = R-3m, No. 166
- calculated volume (A^3/atom) = 29.5
- energy above the lowest structure with this stoichiometry (eV per formula unit) = 1.98
- formation energy (eV per atom) = 0.201

***

Entry 9:
Density functional theory data (PBE-GGA) for a relaxed InRe2Ni crystal.

```
4
Lattice="4.6929 -0.0047 0.0147 3.8467 2.6883 0.0147 0.7215 0.2267 4.9186" Properties=species:S:1:pos:R:3 pbc="T T T"
Ni 2.3733 0.7458 1.2528
Re 9.1775 2.8840 4.8537
Re 6.9426 2.1817 3.9298
In 4.6593 1.4642 2.3339
```

- space group = Cm, No. 8
- calculated volume (A^3/atom) = 15.5
- formation energy (eV per atom) = 0.352

***

Entry 10:
Density functional theory data (PBE-GGA) for a relaxed Sr2TmCu2S4 crystal.

```
9
Lattice="-2.1588 0.8152 3.0959 -5.5838 -3.2285 -3.0435 4.8635 -5.0881 2.3232" Properties=species:S:1:pos:R:3 pbc="T T T"
S 2.2156 -5.2853 2.9367
S -5.0947 -2.2160 -0.5611
S -3.2718 -4.9418 1.4278
S 0.3927 -2.5595 0.9478
Tm 0.0000 0.0000 0.0000
Sr -0.7165 -4.4077 3.0691
Sr -2.1627 -3.0936 -0.6934
Cu 2.3725 -2.9869 2.4409
Cu -5.2516 -4.5144 -0.0653
```

- space group = C2/m, No. 12
- calculated volume (A^3/atom) = 20.5
- E_form (uncorrected) (eV/atom) = -1.35

***

Entry 11:
Density functional theory data (PBE-GGA) for a relaxed MgZr6Tc5 crystal.

```
12
Lattice="4.5023 0.0189 -1.3139 -0.9185 5.8810 -3.0625 -0.0794 0.3984 8.1046" Properties=species:S:1:pos:R:3 pbc="T T T"
Zr 2.0081 1.5658 -1.4674
Zr 0.3524 2.6567 1.2457
Zr 3.1520 3.6416 2.4826
Zr 1.5757 4.3341 -2.9089
Zr 3.5997 0.7755 3.9751
Zr -0.0953 5.5228 -0.2468
Tc 0.6972 5.2017 2.4643
Tc 2.3652 4.0708 -0.2076
Tc 2.8071 1.0966 1.2640
Tc 1.1392 2.2275 3.9359
Tc -0.4592 2.9405 -1.5312
Mg 0.0000 0.0000 0.0000
```

- space group = Immm, No. 71
- calculated volume (A^3/atom) = 18.3
- formation energy (eV per atom) = -0.314

***

Entry 12:
Density functional theory data (PBE-GGA) for a relaxed Ho4TePtSe2 crystal.

```
8
Lattice="4.0584 0.0000 0.0000 0.0000 7.2813 -0.1978 0.0000 2.5124 6.8521" Properties=species:S:1:pos:R:3 pbc="T T T"
Ho 2.0293 6.0944 1.4135
Ho 2.0293 3.6994 5.2408
Ho 0.0001 7.2999 5.1875
Ho 4.0584 2.4938 1.4668
Pt 2.0292 3.6407 -0.0989
Te 0.0000 4.8968 3.3272
Se 0.0000 2.5124 6.8521
Se 2.0292 1.2562 3.4260
```

- space group = P2/m, No. 10
- calculated volume (A^3/atom) = 25.6
- E_form (uncorrected) (eV/atom) = -1.48

***

Entry 13:
Density functional theory data (PBE-GGA) for a relaxed Li12As3F5 crystal.

```
80
Lattice="11.4186 0.0000 0.0000 -3.8062 10.7656 0.0000 -3.8062 -5.3828 9.3233" Properties=species:S:1:pos:R:3 pbc="T T T"
Li -3.2897 4.7782 4.8496
Li 2.9056 4.4346 3.8786
Li 5.8172 3.1199 3.5435
Li -1.3094 0.0850 7.6100
Li -0.9006 -2.8849 6.5628
Li 4.3228 4.5022 7.4221
Li 6.6100 -3.8330 8.2051
Li 4.8087 -0.9482 5.4447
Li 0.5165 6.8680 6.3749
Li 2.4197 1.4852 2.9484
Li -1.0025 6.3310 3.8786
Li -0.9006 3.8330 8.2051
Li 1.7953 7.3201 3.7314
Li -0.5166 0.8806 1.9012
Li 7.5046 1.1826 0.1879
Li 3.2897 -1.4852 2.9484
Li 0.9007 0.9482 5.4447
Li 4.7069 8.2677 2.7604
Li 2.0109 -1.9373 5.5918
Li -2.0109 -4.2002 9.1353
Li -4.8087 2.8849 6.5628
Li 2.4969 6.8240 0.9302
Li 1.3866 3.8976 6.3749
Li -3.9140 7.6457 3.5435
Li 8.2062 5.4677 1.7133
Li -1.3866 -0.6046 4.4737
Li 8.6149 2.4979 2.7604
Li 1.3094 -1.4412 8.3931
Li 6.2259 -0.8806 1.9012
Li 0.1078 3.4455 3.7314
Li -0.5937 3.9416 0.9302
Li 2.4968 3.8566 0.7831
Li 4.4000 -1.5262 8.5402
Li -3.6984 4.2002 9.1353
Li 5.8171 9.5830 0.1879
Li 5.1156 5.2978 1.7133
Li 3.6984 1.9373 5.5918
Li -2.4197 6.2634 7.4221
Li -0.5937 6.9090 0.7831
Li 5.1928 5.9874 4.8496
Li 4.7069 1.5498 1.1181
Li 4.4000 1.4412 8.3931
Li -2.8038 9.2158 1.1181
Li -2.0109 2.2629 5.7798
Li 7.7203 -2.2629 5.7798
Li 7.0959 0.6046 4.4737
Li 1.3094 1.5262 8.5402
Li -4.4000 -0.0849 7.6100
As -2.8547 -2.0185 8.1579
As -2.8547 2.0185 8.1579
As 4.7578 0.6728 3.4962
As 2.8547 6.0556 5.8270
As 8.5640 0.0000 2.3308
As 0.9516 5.3828 2.3308
As 6.6609 3.3642 1.1654
As -0.9516 4.7099 5.8270
As 6.6609 7.4013 1.1654
As 0.9516 -0.6728 3.4962
As 2.8547 0.0000 6.9925
As -4.7578 5.3828 6.9925
F 2.8547 8.0742 2.3308
F -1.9031 -2.6914 4.6616
F -3.8062 2.6914 4.6616
F 5.7093 0.0000 0.0000
F 4.7578 2.6914 6.9925
F 0.0000 0.0000 0.0000
F -0.9516 8.7470 1.1654
F 4.7578 4.7099 3.4962
F -0.9516 0.6728 5.8270
F 6.6609 -0.6728 5.8270
F -0.9516 2.6914 2.3308
F -2.8547 6.0556 3.4962
F 0.9516 3.3642 8.1579
F 1.9031 2.6914 4.6616
F 4.7578 -3.3642 8.1579
F 0.9516 -2.6914 6.9925
F 3.8062 -2.6914 4.6616
F 2.8547 2.0185 1.1654
F 3.8062 5.3828 0.0000
F -1.9031 5.3828 0.0000
```

- space group = Ia-3d, No. 230
- calculated volume (A^3/atom) = 14.3
- E_form (uncorrected) (eV/atom) = -1.64

***

Entry 14:
Density functional theory data (PBE-GGA) for a relaxed PuHfZrPa crystal.

```
4
Lattice="5.1420 0.0000 0.0000 2.5710 4.4531 0.0000 2.5710 1.4844 4.1984" Properties=species:S:1:pos:R:3 pbc="T T T"
Zr 7.7129 4.4531 3.1488
Pa 5.1420 2.9687 2.0992
Hf 2.5710 1.4844 1.0496
Pu 0.0000 0.0000 0.0000
```

- space group = F-43m, No. 216
- calculated volume (A^3/atom) = 24.0
- formation energy (eV per atom) = 0.267

***

Entry 15:
Density functional theory data (PBE-GGA) for a relaxed Na2SrHg2Bi2 crystal.

```
7
Lattice="5.1022 0.0000 0.0000 2.5511 4.4186 0.0000 2.5511 1.4729 9.2341" Properties=species:S:1:pos:R:3 pbc="T T T"
Na 2.5511 1.4729 5.3130
Na 7.6532 4.4186 3.9211
Hg 5.1022 2.9457 6.1110
Hg 5.1022 2.9457 3.1231
Sr 0.0000 0.0000 0.0000
Bi 2.5511 1.4729 1.9448
Bi 7.6532 4.4186 7.2893
```

- space group = R-3m, No. 166
- calculated volume (A^3/atom) = 29.7
- formation energy (eV per atom) = -0.401

***

Entry 16:
Density functional theory data (PBE-GGA) for a relaxed Ti2RuRh crystal.

```
4
Lattice="3.1224 0.0000 0.0000 0.0000 4.3541 0.0000 0.0000 0.0000 4.3541" Properties=species:S:1:pos:R:3 pbc="T T T"
Rh 1.5612 2.1770 2.1770
Ti 0.0000 2.1770 0.0000
Ti 0.0000 0.0000 2.1770
Ru 1.5612 0.0000 0.0000
```

- space group = P4/mmm, No. 123
- calculated volume (A^3/atom) = 14.8
- formation energy (eV per atom) = -0.745